{
  "formula": "InCuW",
  "functional": "PBE",
  "state": "optimized geometry",
  "lattice_angstrom": [[4.269, 0.000, 0.000], [2.135, 3.697, 0.000], [2.135, 1.232, 3.486]],
  "species": ["W", "Cu", "In"],
  "frac_coords": [[0.500, 0.500, 0.500], [0.750, 0.750, 0.750], [0.000, 0.000, 0.000]],
  "dos_ef_per_ev_cell": 3.66,
  "energy_ev_per_atom": -5.6764,
  "volume_a3_per_cell": 55.0,
  "polymorph_energy_kj_per_mol_fu": 129
}

***

{
  "formula": "InCuW",
  "functional": "PBE",
  "state": "optimized geometry",
  "lattice_angstrom": [[-1.276, 3.915, 1.779], [-2.426, -1.873, -3.275], [-1.549, -1.387, 1.941]],
  "species": ["Cu", "In", "W"],
  "frac_coords": [[0.000, 0.000, 0.166], [0.667, 0.333, 0.167], [0.333, 0.667, 0.667]],
  "dos_ef_per_ev_cell": 3.07,
  "energy_ev_per_atom": -5.9802,
  "volume_a3_per_cell": 49.6,
  "polymorph_energy_kj_per_mol_fu": 41
}

***

{
  "formula": "In2CuW",
  "functional": "PBE",
  "state": "optimized geometry",
  "lattice_angstrom": [[-0.991, -4.279, -1.711], [3.025, -2.128, -2.921], [2.450, -3.750, 1.467]],
  "species": ["W", "In", "In", "Cu"],
  "frac_coords": [[0.750, 0.750, 0.750], [0.250, 0.250, 0.250], [0.000, 0.000, 0.000], [0.500, 0.500, 0.500]],
  "dos_ef_per_ev_cell": 3.81,
  "energy_ev_per_atom": -4.7665,
  "volume_a3_per_cell": 74.0,
  "polymorph_energy_kj_per_mol_fu": 167
}

***

{
  "formula": "In2CuW",
  "functional": "PBE",
  "state": "optimized geometry",
  "lattice_angstrom": [[0.000, 3.329, 3.329], [3.329, 0.000, 3.329], [3.329, 3.329, 0.000]],
  "species": ["Cu", "W", "In", "In"],
  "frac_coords": [[0.000, 0.000, 0.000], [0.500, 0.500, 0.500], [0.250, 0.250, 0.250], [0.750, 0.750, 0.750]],
  "dos_ef_per_ev_cell": 3.20,
  "energy_ev_per_atom": -4.9098,
  "volume_a3_per_cell": 73.8,
  "polymorph_energy_kj_per_mol_fu": 112
}

***

{
  "formula": "InCuW",
  "functional": "PBE",
  "state": "optimized geometry",
  "lattice_angstrom": [[4.420, 0.000, 0.000], [2.210, 3.828, 0.000], [2.210, 1.276, 3.609]],
  "species": ["In", "W", "Cu"],
  "frac_coords": [[0.500, 0.500, 0.500], [0.750, 0.750, 0.750], [0.000, 0.000, 0.000]],
  "dos_ef_per_ev_cell": 3.26,
  "energy_ev_per_atom": -5.3449,
  "volume_a3_per_cell": 61.1,
  "polymorph_energy_kj_per_mol_fu": 225
}

***

{
  "formula": "In2CuW",
  "functional": "PBE",
  "state": "optimized geometry",
  "lattice_angstrom": [[-4.238, -0.742, -1.110], [0.008, -2.414, 1.584], [-1.720, 2.623, 4.813]],
  "species": ["W", "In", "In", "Cu"],
  "frac_coords": [[0.500, 0.250, 0.250], [0.000, 0.809, 0.003], [0.000, 0.691, 0.497], [0.500, 0.750, 0.750]],
  "dos_ef_per_ev_cell": 3.16,
  "energy_ev_per_atom": -5.0829,
  "volume_a3_per_cell": 73.5,
  "polymorph_energy_kj_per_mol_fu": 45
}

***

{
  "formula": "InCu4W",
  "functional": "PBE",
  "state": "optimized geometry",
  "lattice_angstrom": [[-0.494, -4.810, 0.945], [-4.333, -2.225, -0.745], [-0.520, -3.199, -3.711]],
  "species": ["In", "Cu", "Cu", "Cu", "Cu", "W"],
  "frac_coords": [[0.750, 0.750, 0.750], [0.374, 0.374, 0.877], [0.374, 0.877, 0.374], [0.374, 0.374, 0.374], [0.877, 0.374, 0.374], [0.000, 0.000, 0.000]],
  "dos_ef_per_ev_cell": 4.04,
  "energy_ev_per_atom": -4.9767,
  "volume_a3_per_cell": 84.6
}

***

{
  "formula": "In2CuW",
  "functional": "PBE",
  "state": "optimized geometry",
  "lattice_angstrom": [[7.323, 0.000, 0.000], [0.000, 7.323, 0.000], [3.662, 3.662, 2.857]],
  "species": ["In", "In", "In", "In", "W", "W", "Cu", "Cu"],
  "frac_coords": [[0.594, 0.125, 0.250], [0.875, 0.844, 0.750], [0.156, 0.625, 0.250], [0.375, 0.406, 0.750], [0.750, 0.250, 0.500], [0.000, 0.000, 0.000], [0.250, 0.750, 0.500], [0.500, 0.500, 0.000]],
  "dos_ef_per_ev_cell": 5.55,
  "energy_ev_per_atom": -4.7952,
  "volume_a3_per_cell": 153.2,
  "polymorph_energy_kj_per_mol_fu": 156
}

***

{
  "formula": "InCuW3",
  "functional": "PBE",
  "state": "optimized geometry",
  "lattice_angstrom": [[-2.338, 3.280, 2.722], [1.509, -2.267, 4.027], [3.987, 2.782, 0.073]],
  "species": ["W", "W", "W", "Cu", "In"],
  "frac_coords": [[0.500, 0.000, 0.000], [0.000, 0.000, 0.500], [0.000, 0.500, 0.000], [0.500, 0.500, 0.500], [0.000, 0.000, 0.000]],
  "dos_ef_per_ev_cell": 8.01,
  "energy_ev_per_atom": -5.9937,
  "volume_a3_per_cell": 114.9,
  "polymorph_energy_kj_per_mol_fu": 695
}

***

{
  "formula": "InCuW",
  "functional": "PBE",
  "state": "optimized geometry",
  "lattice_angstrom": [[6.448, -0.019, 0.020], [5.830, 2.755, 0.014], [0.618, 0.145, 2.770]],
  "species": ["W", "Cu", "In"],
  "frac_coords": [[0.655, 0.655, 0.345], [0.006, 0.006, 0.994], [0.339, 0.339, 0.661]],
  "dos_ef_per_ev_cell": 1.19,
  "energy_ev_per_atom": -6.1234,
  "volume_a3_per_cell": 49.5,
  "polymorph_energy_kj_per_mol_fu": 0
}

***

{
  "formula": "In2CuW",
  "functional": "PBE",
  "state": "optimized geometry",
  "lattice_angstrom": [[-2.939, 4.993, 0.384], [-2.628, 1.647, 4.909], [4.851, -1.417, -2.858]],
  "species": ["W", "Cu", "In", "In"],
  "frac_coords": [[0.478, 0.478, 0.000], [0.266, 0.766, 0.500], [0.018, 0.018, 0.000], [0.738, 0.238, 0.500]],
  "dos_ef_per_ev_cell": 2.23,
  "energy_ev_per_atom": -5.1638,
  "volume_a3_per_cell": 73.2,
  "polymorph_energy_kj_per_mol_fu": 14
}

***

{
  "formula": "InCuW3",
  "functional": "PBE",
  "state": "optimized geometry",
  "lattice_angstrom": [[4.553, 0.000, 0.000], [0.000, 4.553, 0.000], [0.000, 0.000, 4.553]],
  "species": ["Cu", "In", "W", "W", "W"],
  "frac_coords": [[0.000, 0.000, 0.000], [0.500, 0.500, 0.500], [0.000, 0.000, 0.500], [0.500, 0.000, 0.000], [0.000, 0.500, 0.000]],
  "dos_ef_per_ev_cell": 11.51,
  "energy_ev_per_atom": -7.4334,
  "volume_a3_per_cell": 94.4,
  "polymorph_energy_kj_per_mol_fu": 0
}

***

{
  "formula": "In2CuW",
  "functional": "PBE",
  "state": "optimized geometry",
  "lattice_angstrom": [[-4.184, -2.796, 0.543], [3.579, -2.004, 2.965], [-0.870, 1.734, 2.223]],
  "species": ["Cu", "In", "In", "W"],
  "frac_coords": [[0.000, 0.500, 0.500], [0.000, 0.000, 0.000], [0.500, 0.500, 0.000], [0.500, 0.000, 0.500]],
  "dos_ef_per_ev_cell": 2.46,
  "energy_ev_per_atom": -5.1995,
  "volume_a3_per_cell": 72.0,
  "polymorph_energy_kj_per_mol_fu": 0
}

***

{
  "formula": "InCu3W",
  "functional": "PBE",
  "state": "optimized geometry",
  "lattice_angstrom": [[4.776, 0.000, 0.000], [0.000, 4.776, 0.000], [0.000, 0.000, 4.776]],
  "species": ["W", "Cu", "Cu", "Cu", "In"],
  "frac_coords": [[0.000, 0.000, 0.000], [0.000, 0.500, 0.000], [0.500, 0.000, 0.000], [0.000, 0.000, 0.500], [0.500, 0.500, 0.500]],
  "dos_ef_per_ev_cell": 6.18,
  "energy_ev_per_atom": -4.1923,
  "volume_a3_per_cell": 108.9,
  "polymorph_energy_kj_per_mol_fu": 0
}

***

{
  "formula": "In2CuW",
  "functional": "PBE",
  "state": "optimized geometry",
  "lattice_angstrom": [[-4.271, -1.008, -8.287], [-5.088, -3.617, -6.997], [-6.690, -1.107, -6.477]],
  "species": ["Cu", "W", "In", "In"],
  "frac_coords": [[0.750, 0.750, 0.750], [0.250, 0.250, 0.250], [0.004, 0.004, 0.004], [0.496, 0.496, 0.496]],
  "dos_ef_per_ev_cell": 1.42,
  "energy_ev_per_atom": -5.1766,
  "volume_a3_per_cell": 72.9,
  "polymorph_energy_kj_per_mol_fu": 9
}

***

{
  "formula": "In2Cu2W",
  "functional": "PBE",
  "state": "optimized geometry",
  "lattice_angstrom": [[7.456, 0.000, 0.000], [0.000, 7.456, 0.000], [0.000, 0.000, 2.974]],
  "species": ["W", "W", "Cu", "Cu", "Cu", "Cu", "In", "In", "In", "In"],
  "frac_coords": [[0.000, 0.000, 0.000], [0.500, 0.500, 0.000], [0.618, 0.118, 0.000], [0.118, 0.382, 0.000], [0.382, 0.882, 0.000], [0.882, 0.618, 0.000], [0.320, 0.180, 0.500], [0.180, 0.680, 0.500], [0.680, 0.820, 0.500], [0.820, 0.320, 0.500]],
  "dos_ef_per_ev_cell": 7.06,
  "energy_ev_per_atom": -4.8801,
  "volume_a3_per_cell": 165.3
}

***

{
  "formula": "In2CuW",
  "functional": "PBE",
  "state": "optimized geometry",
  "lattice_angstrom": [[2.959, 0.027, 0.000], [-1.088, 2.752, 0.000], [0.000, 0.000, 8.930]],
  "species": ["In", "In", "Cu", "W"],
  "frac_coords": [[0.000, 0.000, 0.989], [0.000, 0.000, 0.511], [0.500, 0.500, 0.750], [0.500, 0.500, 0.250]],
  "dos_ef_per_ev_cell": 1.24,
  "energy_ev_per_atom": -5.1330,
  "volume_a3_per_cell": 73.0,
  "polymorph_energy_kj_per_mol_fu": 26
}

***

{
  "formula": "In2CuW",
  "functional": "PBE",
  "state": "optimized geometry",
  "lattice_angstrom": [[4.828, 0.000, 0.000], [0.000, 2.945, 0.002], [0.000, -0.004, 5.122]],
  "species": ["In", "In", "Cu", "W"],
  "frac_coords": [[0.500, 0.125, 0.328], [0.000, 0.125, 0.935], [0.500, 0.625, 0.786], [0.000, 0.625, 0.452]],
  "dos_ef_per_ev_cell": 2.58,
  "energy_ev_per_atom": -5.1754,
  "volume_a3_per_cell": 72.8,
  "polymorph_energy_kj_per_mol_fu": 9
}

***

{
  "formula": "In2CuW",
  "functional": "PBE",
  "state": "optimized geometry",
  "lattice_angstrom": [[-0.849, -5.119, -1.947], [-1.382, -3.799, 3.792], [-1.267, 4.696, -2.656]],
  "species": ["In", "In", "W", "Cu"],
  "frac_coords": [[0.482, 0.482, 0.000], [0.018, 0.018, 0.000], [0.750, 0.250, 0.500], [0.250, 0.750, 0.500]],
  "dos_ef_per_ev_cell": 2.02,
  "energy_ev_per_atom": -5.0420,
  "volume_a3_per_cell": 71.9,
  "polymorph_energy_kj_per_mol_fu": 61
}

***

{
  "formula": "In2CuW",
  "functional": "PBE",
  "state": "optimized geometry",
  "lattice_angstrom": [[4.973, 0.003, 0.006], [4.114, 2.795, 0.006], [1.154, 0.355, 5.237]],
  "species": ["Cu", "W", "In", "In"],
  "frac_coords": [[0.250, 0.250, 0.250], [0.750, 0.750, 0.750], [0.508, 0.508, 0.496], [0.992, 0.992, 0.004]],
  "dos_ef_per_ev_cell": 1.54,
  "energy_ev_per_atom": -5.0716,
  "volume_a3_per_cell": 72.7,
  "polymorph_energy_kj_per_mol_fu": 49
}